# CoPRuO2 (PBE+U, optimized geometry)
data_CoPRuO2
_chemical_formula_sum 'Co1 P1 Ru1 O2'
_cell_length_a 3.4609
_cell_length_b 3.4609
_cell_length_c 5.5473
_cell_angle_alpha 90.00
_cell_angle_beta 90.00
_cell_angle_gamma 90.00
_space_group_name_H-M_alt 'P 4/m m m'
_space_group_IT_number 123
_space_group_name_Hall '-P 4 2'
loop_
_atom_site_label
_atom_site_type_symbol
_atom_site_fract_x
_atom_site_fract_y
_atom_site_fract_z
Co1 Co 0.0000 0.0000 0.0000
P1 P 0.0000 0.0000 0.5000
Ru1 Ru 0.5000 0.5000 0.5000
O1 O 0.0000 0.5000 0.0000
# **Crystal system**: tetragonal
# **N(E_F)**: 2.99 states/eV/f.u.
# **DFT total energy**: -5.738 eV per atom
# **E above lowest polymorph**: 353 meV per atom
# **Spin magnetization**: 2.468 μB per formula unit